[1]
A plane-wave DFT calculation with GGA-PBE was carried out for crystalline Na2TmAsS4 at its relaxed geometry.

The theoretical density comes out at 4.0 g cm⁻³. Its uncorrected formation energy is -909 kJ/mol of formula units. The calculation puts the spin magnetization at 0.00 μB per cell.

Lattice parameters (Å, degrees): 6.699 3.860 7.019 90.00 108.52 90.00
Element x y z (fractional)
Na1 0.000 0.000 0.000
Na2 0.500 0.500 0.000
Tm1 0.000 0.500 0.500
As1 0.500 0.000 0.500
S1 0.249 0.000 0.721
S2 0.269 0.500 0.283
S3 0.731 0.500 0.717
S4 0.751 0.000 0.279


[2]
A plane-wave DFT calculation with GGA-PBE was carried out for crystalline NaUAsS at its relaxed geometry.

The theoretical density comes out at 6.2 g cm⁻³. Its uncorrected formation energy is -366 kJ/mol of formula units. The calculation puts the spin magnetization at 2.00 μB per cell.

Lattice parameters (Å, degrees): 7.239 7.239 7.239 32.75 32.75 32.75
Element x y z (fractional)
Na1 0.000 0.000 0.000
U1 0.500 0.500 0.500
As1 0.242 0.242 0.242
S1 0.762 0.762 0.762


[3]
A plane-wave DFT calculation with GGA-PBE was carried out for crystalline Na2UAsS5 at its relaxed geometry.

The theoretical density comes out at 3.8 g cm⁻³. Its uncorrected formation energy is -775 kJ/mol of formula units. The calculation puts the spin magnetization at 2.00 μB per cell.

Lattice parameters (Å, degrees): 8.586 8.586 13.193 90.00 90.00 152.47
Element x y z (fractional)
Na1 0.091 0.909 0.500
Na2 0.123 0.877 0.169
Na3 0.877 0.123 0.669
Na4 0.909 0.091 0.000
U1 0.222 0.778 0.892
U2 0.778 0.222 0.392
As1 0.450 0.550 0.280
As2 0.550 0.450 0.780
S1 0.069 0.931 0.907
S2 0.267 0.733 0.519
S3 0.309 0.691 0.258
S4 0.366 0.634 0.841
S5 0.494 0.506 0.122
S6 0.506 0.494 0.622
S7 0.634 0.366 0.341
S8 0.691 0.309 0.758
S9 0.733 0.267 0.019
S10 0.931 0.069 0.407


[4]
A plane-wave DFT calculation with GGA-PBE was carried out for crystalline Na2UAs2S6 at its relaxed geometry.

The theoretical density comes out at 4.0 g cm⁻³. Its uncorrected formation energy is -798 kJ/mol of formula units. The calculation puts the spin magnetization at 2.00 μB per cell.

Lattice parameters (Å, degrees): 6.720 6.720 7.148 99.41 99.41 120.88
Element x y z (fractional)
Na1 0.164 0.836 0.000
Na2 0.836 0.164 0.000
U1 0.000 0.000 0.500
As1 0.326 0.674 0.500
As2 0.674 0.326 0.500
S1 0.066 0.417 0.710
S2 0.257 0.257 0.285
S3 0.417 0.066 0.710
S4 0.583 0.934 0.290
S5 0.743 0.743 0.715
S6 0.934 0.583 0.290


[5]
A plane-wave DFT calculation with GGA-PBE was carried out for crystalline NaZn2AsS at its relaxed geometry.

The theoretical density comes out at 3.3 g cm⁻³. Its uncorrected formation energy is 486 kJ/mol of formula units. The calculation puts the spin magnetization at 0.00 μB per cell.

Lattice parameters (Å, degrees): 4.957 4.957 5.306 90.00 90.00 90.00
Element x y z (fractional)
Na1 0.000 0.000 0.000
Zn1 0.000 0.500 0.000
Zn2 0.500 0.000 0.000
As1 0.000 0.000 0.500
S1 0.500 0.500 0.500


[6]
A plane-wave DFT calculation with GGA-PBE was carried out for crystalline NaZrAsS at its relaxed geometry.

The theoretical density comes out at 4.1 g cm⁻³. Its uncorrected formation energy is -422 kJ/mol of formula units. The calculation puts the spin magnetization at 0.00 μB per cell.

Lattice parameters (Å, degrees): 7.452 7.452 7.452 29.73 29.73 29.73
Element x y z (fractional)
Na1 0.000 0.000 0.000
Zr1 0.167 0.167 0.167
As1 0.572 0.572 0.572
S1 0.761 0.761 0.761


[7]
A plane-wave DFT calculation with GGA-PBE was carried out for crystalline NaSb2As at its relaxed geometry.

The theoretical density comes out at 5.1 g cm⁻³. Its uncorrected formation energy is -6 kJ/mol of formula units. The calculation puts the spin magnetization at 0.00 μB per cell.

Lattice parameters (Å, degrees): 8.787 8.787 8.787 25.52 25.52 25.52
Element x y z (fractional)
Na1 0.000 0.000 0.000
Sb1 0.570 0.570 0.570
Sb2 0.764 0.764 0.764
As1 0.166 0.166 0.166


[8]
A plane-wave DFT calculation with GGA-PBE was carried out for crystalline NaSbAs at its relaxed geometry.

The theoretical density comes out at 4.6 g cm⁻³. Its uncorrected formation energy is -48 kJ/mol of formula units. The calculation puts the spin magnetization at 0.00 μB per cell.

Lattice parameters (Å, degrees): 6.113 6.113 6.113 143.83 143.83 52.08
Element x y z (fractional)
Na1 0.000 0.000 0.000
Sb1 0.294 0.294 0.000
As1 0.700 0.700 0.000


[9]
A plane-wave DFT calculation with GGA-PBE was carried out for crystalline Na2SbAs at its relaxed geometry.

The theoretical density comes out at 3.7 g cm⁻³. Its uncorrected formation energy is -126 kJ/mol of formula units. The calculation puts the spin magnetization at 0.00 μB per cell.

Lattice parameters (Å, degrees): 3.905 9.478 5.924 90.00 90.06 90.00
Element x y z (fractional)
Na1 0.249 0.037 0.260
Na2 0.249 0.463 0.260
Na3 0.751 0.537 0.740
Na4 0.751 0.963 0.740
Sb1 0.251 0.250 0.818
Sb2 0.749 0.750 0.182
As1 0.250 0.750 0.501
As2 0.750 0.250 0.499


[10]
A plane-wave DFT calculation with GGA-PBE was carried out for crystalline Na2SbAs at its relaxed geometry.

The theoretical density comes out at 4.3 g cm⁻³. Its uncorrected formation energy is -107 kJ/mol of formula units. The calculation puts the spin magnetization at 0.00 μB per cell.

Lattice parameters (Å, degrees): 4.424 4.424 4.774 90.00 90.00 90.00
Element x y z (fractional)
Na1 0.000 0.500 0.000
Na2 0.500 0.000 0.000
Sb1 0.000 0.000 0.500
As1 0.500 0.500 0.500


[11]
A plane-wave DFT calculation with GGA-PBE was carried out for crystalline NaSb3As at its relaxed geometry.

The theoretical density comes out at 4.7 g cm⁻³. Its uncorrected formation energy is 184 kJ/mol of formula units. The calculation puts the spin magnetization at 0.00 μB per cell.

Lattice parameters (Å, degrees): 5.486 5.486 5.486 90.00 90.00 90.00
Element x y z (fractional)
Na1 0.000 0.000 0.000
Sb1 0.000 0.500 0.500
Sb2 0.500 0.000 0.500
Sb3 0.500 0.500 0.000
As1 0.500 0.500 0.500


[12]
A plane-wave DFT calculation with GGA-PBE was carried out for crystalline NaSbAs at its relaxed geometry.

The theoretical density comes out at 3.8 g cm⁻³. Its uncorrected formation energy is -52 kJ/mol of formula units. The calculation puts the spin magnetization at 0.00 μB per cell.

Lattice parameters (Å, degrees): 3.944 6.162 7.933 90.64 90.18 90.06
Element x y z (fractional)
Na1 0.000 0.000 0.000
Na2 0.498 0.528 0.403
Sb1 0.000 0.508 0.853
Sb2 0.498 0.931 0.662
As1 0.501 0.377 0.054
As2 0.999 0.207 0.581